{"formula": "La2Co2Pd", "functional": "GGA-PBE", "state": "optimized geometry", "relative_energy_mev_per_atom": 0, "total_magnetization_mub_per_cell": 1.4, "e_form_mev_per_atom": -239, "total_energy_ev_per_atom": -6.091, "lattice": [[7.180, 0.000, 0.000], [0.000, 7.180, 0.000], [0.000, 0.000, 3.946]], "species": ["La", "La", "La", "La", "Co", "Co", "Co", "Co", "Pd", "Pd"], "fractional_positions": [[0.188, 0.312, 0.000], [0.312, 0.812, 0.000], [0.688, 0.188, 0.000], [0.812, 0.688, 0.000], [0.112, 0.612, 0.500], [0.388, 0.112, 0.500], [0.612, 0.888, 0.500], [0.888, 0.388, 0.500], [0.000, 0.000, 0.500], [0.500, 0.500, 0.500]]}